! GaCuPb2, relaxed, DFT PBE; values from VASP
! * space group: I-42d
! * M_tot: 0.00 μB per formula unit
! * energy of formation from the pure elements: 4.239 kcal/mol of atoms
&SYSTEM
  ibrav = 0, nat = 8, ntyp = 3
/
ATOMIC_SPECIES
Pb 207.20 Pb.upf
Cu 63.55 Cu.upf
Ga 69.72 Ga.upf
ATOMIC_POSITIONS crystal
Pb 0.8750 0.7657 0.7500
Pb 0.2343 0.6250 0.2500
Pb 0.5157 0.1250 0.2500
Pb 0.3750 0.4843 0.7500
Cu 0.5000 0.5000 0.0000
Cu 0.2500 0.7500 0.5000
Ga 0.7500 0.2500 0.5000
Ga 0.0000 0.0000 0.0000
CELL_PARAMETERS angstrom
-9.0612 -1.5683 -1.2815
1.5189 -1.3758 -9.0558
-3.4227 -3.8250 -4.7528

***

! KTe2Pb, relaxed, DFT PBE; values from VASP
! * space group: R3m
! * M_tot: 0.00 μB per formula unit
! * energy: -3.28 eV per atom
&SYSTEM
  ibrav = 0, nat = 4, ntyp = 3
/
ATOMIC_SPECIES
Te 127.60 Te.upf
K 39.10 K.upf
Pb 207.20 Pb.upf
ATOMIC_POSITIONS crystal
Te 0.0716 0.0716 0.7851
Te 0.2617 0.2617 0.2148
K 0.4997 0.4997 0.5009
Pb 0.6669 0.6669 0.9992
CELL_PARAMETERS angstrom
-0.7967 1.6361 -4.1323
1.9367 -1.9181 -3.5997
-6.3454 -5.3860 -3.3758

***

! Ta3VSe, relaxed, DFT PBE; values from VASP
! * space group: Pm-3m
! * M_tot: 1.51 μB per formula unit
! * energy: -8.58 eV per atom
&SYSTEM
  ibrav = 0, nat = 5, ntyp = 3
/
ATOMIC_SPECIES
V 50.94 V.upf
Ta 180.95 Ta.upf
Se 78.96 Se.upf
ATOMIC_POSITIONS crystal
V 0.5000 0.5000 0.5000
Ta 0.0000 0.5000 0.0000
Ta 0.0000 0.0000 0.5000
Ta 0.5000 0.0000 0.0000
Se 0.0000 0.0000 0.0000
CELL_PARAMETERS angstrom
-0.3382 1.0897 4.5605
3.5700 -2.9044 0.9587
3.0398 3.5322 -0.6186

***

! PmGdZnIn, relaxed, DFT PBE; values from VASP
! * space group: F-43m
! * M_tot: 7.89 μB per formula unit
! * energy of formation from the pure elements: -9.349 kcal/mol of atoms
&SYSTEM
  ibrav = 0, nat = 4, ntyp = 4
/
ATOMIC_SPECIES
Pm 145.00 Pm.upf
In 114.82 In.upf
Zn 65.41 Zn.upf
Gd 157.25 Gd.upf
ATOMIC_POSITIONS crystal
Pm 0.7500 0.7500 0.7500
In 0.0000 0.0000 0.0000
Zn 0.5000 0.5000 0.5000
Gd 0.2500 0.2500 0.2500
CELL_PARAMETERS angstrom
-3.3066 0.4876 -4.1042
-5.2302 -0.2618 0.7696
-2.9702 4.3521 -0.5031

***

! Pm6GeS5, relaxed, DFT PBE; values from VASP
! * space group: C2/m
! * M_tot: 0.00 μB per formula unit
! * energy: -6.35 eV per atom
&SYSTEM
  ibrav = 0, nat = 12, ntyp = 3
/
ATOMIC_SPECIES
S 32.06 S.upf
Pm 145.00 Pm.upf
Ge 72.64 Ge.upf
ATOMIC_POSITIONS crystal
S 0.0000 0.3328 0.3344
S 0.5000 0.8348 0.3304
S 0.5000 0.1652 0.6696
S 0.5000 0.5000 0.0000
S 0.0000 0.6672 0.6656
Pm 0.2505 0.9167 0.6664
Pm 0.7495 0.0833 0.3336
Pm 0.2489 0.2512 0.0000
Pm 0.7511 0.7488 0.0000
Pm 0.7495 0.4169 0.6664
Pm 0.2505 0.5831 0.3336
Ge 0.0000 0.0000 0.0000
CELL_PARAMETERS angstrom
-4.5600 -3.9674 3.6918
2.4163 -6.6220 0.3473
4.1971 -1.9501 5.3280

***

! Ba2ZrNpS6, relaxed, DFT PBE; values from VASP
! * space group: Fm-3m
! * M_tot: 3.00 μB per formula unit
! * energy: -6.69 eV per atom
&SYSTEM
  ibrav = 0, nat = 20, ntyp = 4
/
ATOMIC_SPECIES
S 32.06 S.upf
Ba 137.33 Ba.upf
Zr 91.22 Zr.upf
Np 237.00 Np.upf
ATOMIC_POSITIONS crystal
S 0.5000 0.2498 0.2533
S 0.7468 0.0031 0.5000
S 0.2531 0.4965 0.5000
S 0.2468 0.9969 0.0000
S 0.7532 0.9969 0.0000
S 0.7531 0.5035 0.0000
S 0.2469 0.5035 0.0000
S 0.0000 0.7502 0.2467
S 0.0000 0.7502 0.7533
S 0.5000 0.2498 0.7467
S 0.7469 0.4965 0.5000
S 0.2532 0.0031 0.5000
Ba 0.0000 0.2495 0.2502
Ba 0.5000 0.7505 0.7502
Ba 0.5000 0.7505 0.2498
Ba 0.0000 0.2495 0.7498
Zr 0.5000 0.2499 0.5000
Zr 0.0000 0.7501 0.0000
Np 0.0000 0.7498 0.5000
Np 0.5000 0.2502 0.0000
CELL_PARAMETERS angstrom
7.2635 0.0000 0.0000
0.0000 7.2641 0.0000
0.0000 0.0000 10.2715

***

! NiMoSe2, relaxed, DFT PBE; values from VASP
! * space group: Imm2
! * M_tot: 0.00 μB per formula unit
! * energy: -6.04 eV per atom
&SYSTEM
  ibrav = 0, nat = 4, ntyp = 3
/
ATOMIC_SPECIES
Se 78.96 Se.upf
Mo 95.94 Mo.upf
Ni 58.69 Ni.upf
ATOMIC_POSITIONS crystal
Se 0.9827 0.9827 0.0000
Se 0.7242 0.2242 0.5000
Mo 0.5728 0.5728 0.0000
Ni 0.2204 0.7204 0.5000
CELL_PARAMETERS angstrom
7.1411 0.0480 0.0019
5.5380 4.5087 -0.0019
-6.3245 -2.3200 2.3696

***

! LaRePb2, relaxed, DFT PBE; values from VASP
! * space group: I-4m2
! * M_tot: 0.15 μB per formula unit
! * energy of formation from the pure elements: 12.515 kcal/mol of atoms
&SYSTEM
  ibrav = 0, nat = 4, ntyp = 3
/
ATOMIC_SPECIES
Pb 207.20 Pb.upf
La 138.91 La.upf
Re 186.21 Re.upf
ATOMIC_POSITIONS crystal
Pb 0.2500 0.7500 0.5000
Pb 0.0000 0.0000 0.0000
La 0.7500 0.2500 0.5000
Re 0.5000 0.5000 0.0000
CELL_PARAMETERS angstrom
5.6661 -0.0008 0.0000
1.7877 5.3767 0.0000
-3.7269 -2.6880 3.3151